Entry 1:
SbP2AuO: single point on PBEsol structure, meta-GGA SCAN.

Cell and atoms, written as extended XYZ:
```
5
Lattice="4.834 0.000 0.000 0.000 4.834 0.000 0.000 0.000 3.899" Properties=species:S:1:pos:R:3 pbc="T T T"
Sb 0.000 0.000 0.000
P 0.000 2.417 1.949
P 2.417 0.000 1.949
Au 2.417 2.417 1.949
O 2.417 2.417 0.000
```

Results
- Energy above the lowest structure with this stoichiometry: 0 meV/atom
- Crystal system: tetragonal
- Density: 7230 kg/m3
- Volume: 18.2 A^3/atom
- Formation energy (no corrections): 0.616 eV/atom


Entry 2:
Ba3ScB9O18: single point on PBEsol structure, meta-GGA SCAN.

Cell and atoms, written as extended XYZ:
```
62
Lattice="7.159 0.000 0.000 -3.579 6.200 0.000 0.000 0.000 16.259" Properties=species:S:1:pos:R:3 pbc="T T T"
Ba 0.000 0.000 4.065
Ba 0.000 0.000 12.194
Ba 0.000 4.133 2.044
Ba 0.000 4.133 6.085
Ba 3.579 2.067 10.174
Ba 3.579 2.067 14.214
Sc 0.000 0.000 0.000
Sc 0.000 0.000 8.129
B -0.953 3.065 12.194
B -1.389 4.491 9.424
B -1.389 4.491 14.964
B 0.385 2.751 9.424
B 0.385 2.751 14.964
B -0.449 5.493 12.194
B 2.575 1.042 1.295
B 2.575 1.042 6.835
B 2.178 2.358 4.065
B 1.402 3.842 12.194
B 1.004 5.157 9.424
B 1.004 5.157 14.964
B 4.028 0.707 4.065
B 3.194 3.448 1.295
B 3.194 3.448 6.835
B 4.968 1.709 1.295
B 4.968 1.709 6.835
B 4.532 3.135 4.065
O -2.689 4.774 9.410
O -2.689 4.774 14.978
O -1.777 4.152 4.065
O -0.965 3.144 9.418
O -0.965 3.144 14.970
O -1.355 4.410 12.194
O 0.790 1.484 9.410
O 0.790 1.484 14.978
O 1.680 0.058 1.281
O 1.680 0.058 6.848
O 0.438 2.821 12.194
O 0.872 2.584 4.065
O -0.374 5.463 9.418
O -0.374 5.463 14.970
O 2.674 0.537 12.194
O 2.662 1.031 4.065
O 1.339 3.792 9.418
O 1.339 3.792 14.970
O 2.240 2.408 1.289
O 2.240 2.408 6.841
O 0.917 5.169 12.194
O 0.905 5.662 4.065
O 3.953 0.736 1.289
O 3.953 0.736 6.841
O 2.708 3.615 12.194
O 3.141 3.379 4.065
O 1.900 6.142 9.410
O 1.900 6.142 14.978
O 2.790 4.716 1.281
O 2.790 4.716 6.848
O 4.935 1.790 4.065
O 4.544 3.056 1.289
O 4.544 3.056 6.841
O 5.356 2.047 12.194
O 6.269 1.426 1.281
O 6.269 1.426 6.848
```

Results
- Crystal system: hexagonal
- Density: 3876 kg/m3
- Volume: 11.6 A^3/atom
- Formation energy (no corrections): -2.951 eV/atom


Looking at magnetization for the records above, in order, we have 0.000, 0.000 μB per atom.
Looking at N(E_F) for the records above, in order, we have 3.71, 0.00 states/eV/f.u..